Record 1
! NbSn2B | Alexandria via LeMat-Bulk | GGA-PBE | relaxed; values from VASP
! SG = I-42d, No. 122
! Density of states at the Fermi level = 3.01 states/eV/f.u.
! Energy relative to the elements = 2.69 eV/f.u.
&SYSTEM
  ibrav = 0, nat = 8, ntyp = 3
/
ATOMIC_SPECIES
Sn 118.71 Sn.upf
B 10.81 B.upf
Nb 92.91 Nb.upf
ATOMIC_POSITIONS crystal
Sn 0.8750 0.8047 0.7500
Sn 0.1953 0.6250 0.2500
Sn 0.3750 0.4453 0.7500
Sn 0.5547 0.1250 0.2500
B 0.5000 0.5000 0.0000
B 0.2500 0.7500 0.5000
Nb 0.0000 0.0000 0.0000
Nb 0.7500 0.2500 0.5000
CELL_PARAMETERS angstrom
7.1274 0.0000 0.0000
0.0000 7.1274 0.0000
3.5637 3.5637 2.9159

---

Record 2
! YNb2SnB | Alexandria via LeMat-Bulk | GGA-PBE | relaxed; values from VASP
! SG = P4/mmm, No. 123
! Density of states at the Fermi level = 1.83 states/eV/f.u.
! Energy relative to the elements = 0.39 eV/f.u.
&SYSTEM
  ibrav = 0, nat = 5, ntyp = 4
/
ATOMIC_SPECIES
Sn 118.71 Sn.upf
Nb 92.91 Nb.upf
B 10.81 B.upf
Y 88.91 Y.upf
ATOMIC_POSITIONS crystal
Sn 0.0000 0.5000 0.0000
Nb 0.0000 0.0000 0.5000
Nb 0.5000 0.0000 0.0000
B 0.0000 0.0000 0.0000
Y 0.5000 0.5000 0.5000
CELL_PARAMETERS angstrom
4.5049 0.0000 0.0000
0.0000 4.7759 0.0000
0.0000 0.0000 4.5049

---

Record 3
! Sr3NbB | Alexandria via LeMat-Bulk | GGA-PBE | relaxed; values from VASP
! SG = Pm-3m, No. 221
! Density of states at the Fermi level = 6.39 states/eV/f.u.
! Energy relative to the elements = 8.62 eV/f.u.
&SYSTEM
  ibrav = 0, nat = 5, ntyp = 3
/
ATOMIC_SPECIES
Sr 87.62 Sr.upf
B 10.81 B.upf
Nb 92.91 Nb.upf
ATOMIC_POSITIONS crystal
Sr 0.0000 0.0000 0.5000
Sr 0.5000 0.0000 0.0000
Sr 0.0000 0.5000 0.0000
B 0.5000 0.5000 0.5000
Nb 0.0000 0.0000 0.0000
CELL_PARAMETERS angstrom
-5.3082 1.7936 -1.4576
-1.2824 -5.3234 -1.8803
-1.9227 -1.4011 5.2781